(1)
# SrHO2

A relaxed structure of SrHO2 (PBE, the Alexandria database).

abc: 5.067 5.067 5.067
angles: 46.30 46.30 46.30
Positions (direct):
Sr (0.000, 0.000, 0.000)
H (0.500, 0.500, 0.500)
O (0.413, 0.413, 0.413)
O (0.587, 0.587, 0.587)

Electronic total energy   -0.3912 Ry per atom
Symmetry   R-3m, No. 166
DOS(E_F)   2.56 states/eV per cell
Spin magnetization   1.00 μB per formula unit

(2)
# SrH4O3

A relaxed structure of SrH4O3 (PBE, the Alexandria database).

abc: 6.216 3.719 6.772
angles: 90.00 90.71 90.00
Positions (direct):
Sr (0.000, 0.000, 0.000)
Sr (0.262, 0.000, 0.510)
H (0.011, 0.500, 0.303)
H (0.501, 0.209, 0.926)
H (0.501, 0.791, 0.926)
H (0.595, 0.500, 0.666)
H (0.641, 0.500, 0.132)
H (0.729, 0.208, 0.435)
H (0.729, 0.792, 0.435)
H (0.921, 0.500, 0.659)
O (0.065, 0.500, 0.717)
O (0.152, 0.500, 0.242)
O (0.405, 0.000, 0.886)
O (0.565, 0.500, 0.524)
O (0.692, 0.500, 0.996)
O (0.820, 0.000, 0.384)

Relative energy among the computed polymorphs   0.012 eV per atom
Symmetry   Pm, No. 6
DOS(E_F)   0.00 states/eV per cell
Spin magnetization   0.00 μB per formula unit

(3)
# Sr4HO2

A relaxed structure of Sr4HO2 (PBE, the Alexandria database).

abc: 10.753 10.753 10.753
angles: 155.10 155.10 35.51
Positions (direct):
Sr (0.000, 0.500, 0.500)
Sr (0.175, 0.175, 0.000)
Sr (0.500, 0.000, 0.500)
Sr (0.825, 0.825, 0.000)
H (0.500, 0.500, 0.000)
O (0.066, 0.066, 0.000)
O (0.934, 0.934, 0.000)

Electronic total energy   -0.3120 Ry per atom
Symmetry   I4/mmm, No. 139
DOS(E_F)   3.49 states/eV per cell
Spin magnetization   0.00 μB per formula unit

(4)
# SrHO2

A relaxed structure of SrHO2 (PBE, the Alexandria database).

abc: 4.130 4.130 4.130
angles: 60.00 60.00 60.00
Positions (direct):
Sr (0.000, 0.000, 0.000)
H (0.500, 0.500, 0.500)
O (0.250, 0.250, 0.250)
O (0.750, 0.750, 0.750)

Electronic total energy   -0.3139 Ry per atom
Symmetry   Fm-3m, No. 225
DOS(E_F)   2.95 states/eV per cell
Spin magnetization   1.01 μB per formula unit

(5)
# SrH3O3

A relaxed structure of SrH3O3 (PBE, the Alexandria database).

abc: 6.126 6.126 6.126
angles: 68.82 68.82 68.82
Positions (direct):
Sr (0.175, 0.175, 0.175)
Sr (0.825, 0.825, 0.825)
H (0.065, 0.293, 0.699)
H (0.293, 0.699, 0.065)
H (0.301, 0.935, 0.707)
H (0.699, 0.065, 0.293)
H (0.707, 0.301, 0.935)
H (0.935, 0.707, 0.301)
O (0.020, 0.609, 0.180)
O (0.180, 0.020, 0.609)
O (0.391, 0.820, 0.980)
O (0.609, 0.180, 0.020)
O (0.820, 0.980, 0.391)
O (0.980, 0.391, 0.820)

Electronic total energy   -0.3782 Ry per atom
Symmetry   R-3, No. 148
DOS(E_F)   7.68 states/eV per cell
Spin magnetization   1.00 μB per formula unit

(6)
# Sr4H5O

A relaxed structure of Sr4H5O (PBE, the Alexandria database).

abc: 7.660 7.660 6.360
angles: 95.57 95.57 30.17
Positions (direct):
Sr (0.058, 0.058, 0.266)
Sr (0.348, 0.348, 0.184)
Sr (0.652, 0.652, 0.816)
Sr (0.942, 0.942, 0.734)
H (0.098, 0.098, 0.648)
H (0.184, 0.184, 0.054)
H (0.500, 0.500, 0.500)
H (0.816, 0.816, 0.946)
H (0.902, 0.902, 0.352)
O (0.500, 0.500, 0.000)

Electronic total energy   -0.2750 Ry per atom
Symmetry   C2/m, No. 12
DOS(E_F)   0.86 states/eV per cell
Spin magnetization   1.01 μB per formula unit

(7)
# Sr3H2O4

A relaxed structure of Sr3H2O4 (PBE, the Alexandria database).

abc: 6.811 6.811 6.105
angles: 104.88 104.88 78.62
Positions (direct):
Sr (0.124, 0.876, 0.750)
Sr (0.222, 0.478, 0.295)
Sr (0.478, 0.222, 0.795)
Sr (0.522, 0.778, 0.205)
Sr (0.778, 0.522, 0.705)
Sr (0.876, 0.124, 0.250)
H (0.145, 0.406, 0.735)
H (0.406, 0.145, 0.235)
H (0.594, 0.855, 0.765)
H (0.855, 0.594, 0.265)
O (0.099, 0.286, 0.599)
O (0.237, 0.584, 0.944)
O (0.286, 0.099, 0.099)
O (0.416, 0.763, 0.556)
O (0.584, 0.237, 0.444)
O (0.714, 0.901, 0.901)
O (0.763, 0.416, 0.056)
O (0.901, 0.714, 0.401)

Electronic total energy   -0.4136 Ry per atom
Symmetry   C2/c, No. 15
DOS(E_F)   0.00 states/eV per cell
Spin magnetization   0.00 μB per formula unit

(8)
# Sr2TcHO6

A relaxed structure of Sr2TcHO6 (PBE, the Alexandria database).

abc: 5.285 5.285 6.126
angles: 123.48 123.48 69.83
Positions (direct):
Sr (0.249, 0.249, 0.281)
Sr (0.751, 0.751, 0.719)
Tc (0.500, 0.500, 0.000)
H (0.000, 0.000, 0.500)
O (0.198, 0.198, 0.664)
O (0.254, 0.694, 0.191)
O (0.306, 0.746, 0.809)
O (0.694, 0.254, 0.191)
O (0.746, 0.306, 0.809)
O (0.802, 0.802, 0.336)

Electronic total energy   -0.4732 Ry per atom
Symmetry   C2/m, No. 12
Spin magnetization   0.00 μB per formula unit

- Which value of spin magnetization does entry 7 give?
  0.00 μB per formula unit

- Look up the spin magnetization of the fourth one.
  1.01 μB per formula unit

- Number 1 is which compound?
  SrHO2